[1]
## CaMgTl2Bi2 (GGA-PBE)

Data for a geometry-optimized CaMgTl2Bi2 structure.

a = 4.9649 Å, b = 10.1658 Å, c = 7.7494 Å
α = 90.00°, β = 90.00°, γ = 90.00°
Fractional positions:
Ca: 0.0000 0.0445 0.0000
Ca: 0.0000 0.9555 0.5000
Mg: 0.5000 0.1733 0.6612
Mg: 0.5000 0.8267 0.1612
Tl: 0.0000 0.3402 0.3406
Tl: 0.0000 0.6598 0.8406
Tl: 0.5000 0.4072 0.0353
Tl: 0.5000 0.5928 0.5353
Bi: 0.0000 0.3119 0.7608
Bi: 0.0000 0.6881 0.2608
Bi: 0.5000 0.1114 0.2754
Bi: 0.5000 0.8886 0.7754

Results
density of states at the Fermi level: 0.112 states/eV/atom
ΔH_f (0 K): -0.34 eV/atom

[2]
## Ca2MgUBi4 (GGA-PBE)

Data for a geometry-optimized Ca2MgUBi4 structure.

a = 7.0570 Å, b = 4.6600 Å, c = 8.4126 Å
α = 90.00°, β = 110.86°, γ = 90.00°
Fractional positions:
Ca: 0.0000 0.0000 0.0000
Ca: 0.5000 0.5000 0.0000
Mg: 0.0000 0.5000 0.5000
U: 0.5000 0.0000 0.5000
Bi: 0.2476 0.0000 0.7341
Bi: 0.2567 0.5000 0.2642
Bi: 0.7433 0.5000 0.7358
Bi: 0.7524 0.0000 0.2659

Results
density of states at the Fermi level: 1.112 states/eV/atom
ΔH_f (0 K): -0.31 eV/atom

[3]
## CaMgBi2W (GGA-PBE)

Data for a geometry-optimized CaMgBi2W structure.

a = 5.7095 Å, b = 5.7095 Å, c = 5.4068 Å
α = 90.00°, β = 90.00°, γ = 90.00°
Fractional positions:
Ca: 0.0000 0.0000 0.0000
Mg: 0.5000 0.5000 0.5000
Bi: 0.0000 0.5000 0.0000
Bi: 0.5000 0.0000 0.0000
W: 0.0000 0.0000 0.5000

Results
density of states at the Fermi level: 0.744 states/eV/atom
ΔH_f (0 K): 1.56 eV/atom

[4]
## CaMgZnBi (GGA-PBE)

Data for a geometry-optimized CaMgZnBi structure.

a = 5.3102 Å, b = 5.3102 Å, c = 5.3102 Å
α = 60.00°, β = 60.00°, γ = 60.00°
Fractional positions:
Ca: 0.0000 0.0000 0.0000
Mg: 0.5000 0.5000 0.5000
Zn: 0.7500 0.7500 0.7500
Bi: 0.2500 0.2500 0.2500

Results
density of states at the Fermi level: 0.835 states/eV/atom
ΔH_f (0 K): -0.27 eV/atom

[5]
## CaMn2Bi (GGA-PBE)

Data for a geometry-optimized CaMn2Bi structure.

a = 6.6129 Å, b = 6.6129 Å, c = 6.6129 Å
α = 102.51°, β = 102.51°, γ = 124.53°
Fractional positions:
Ca: 0.0000 0.0000 0.0000
Ca: 0.7500 0.2500 0.5000
Mn: 0.1629 0.1250 0.5379
Mn: 0.3750 0.8371 0.9621
Mn: 0.5871 0.6250 0.4621
Mn: 0.8750 0.4129 0.0379
Bi: 0.2500 0.7500 0.5000
Bi: 0.5000 0.5000 0.0000

Results
density of states at the Fermi level: 1.957 states/eV/atom
ΔH_f (0 K): 0.54 eV/atom

[6]
## CaMn2Bi2 (GGA-PBE)

Data for a geometry-optimized CaMn2Bi2 structure.

a = 7.6398 Å, b = 7.6398 Å, c = 7.6398 Å
α = 147.13°, β = 147.13°, γ = 47.17°
Fractional positions:
Ca: 0.0000 0.0000 0.0000
Mn: 0.2500 0.7500 0.5000
Mn: 0.7500 0.2500 0.5000
Bi: 0.3790 0.3790 0.0000
Bi: 0.6210 0.6210 0.0000

Results
density of states at the Fermi level: 1.029 states/eV/atom
ΔH_f (0 K): 0.02 eV/atom
energy above the lowest structure with this stoichiometry: 0.000 eV per formula unit

[7]
## CaMn2Bi2 (GGA-PBE)

Data for a geometry-optimized CaMn2Bi2 structure.

a = 4.6125 Å, b = 4.6125 Å, c = 7.7464 Å
α = 90.00°, β = 90.00°, γ = 120.00°
Fractional positions:
Ca: 0.0000 0.0000 0.0000
Mn: 0.3333 0.6667 0.6193
Mn: 0.6667 0.3333 0.3807
Bi: 0.3333 0.6667 0.2488
Bi: 0.6667 0.3333 0.7512

Results
density of states at the Fermi level: 0.780 states/eV/atom
ΔH_f (0 K): 0.04 eV/atom
energy above the lowest structure with this stoichiometry: 0.113 eV per formula unit

[8]
## CaMnBi2Mo (GGA-PBE)

Data for a geometry-optimized CaMnBi2Mo structure.

a = 5.4083 Å, b = 5.4083 Å, c = 4.6313 Å
α = 90.00°, β = 90.00°, γ = 90.00°
Fractional positions:
Ca: 0.0000 0.0000 0.0000
Mn: 0.5000 0.5000 0.5000
Bi: 0.0000 0.5000 0.5000
Bi: 0.5000 0.0000 0.5000
Mo: 0.5000 0.5000 0.0000

Results
density of states at the Fermi level: 0.803 states/eV/atom
ΔH_f (0 K): 0.55 eV/atom

[9]
## Ca2MnBiN (GGA-PBE)

Data for a geometry-optimized Ca2MnBiN structure.

a = 5.0778 Å, b = 5.0778 Å, c = 4.1173 Å
α = 90.00°, β = 90.00°, γ = 90.00°
Fractional positions:
Ca: 0.0000 0.5000 0.0000
Ca: 0.5000 0.0000 0.0000
Mn: 0.0000 0.0000 0.5000
Bi: 0.5000 0.5000 0.5000
N: 0.0000 0.0000 0.0000

Results
formation energy from raw total energies: -59.2 kJ per mole of atoms
density of states at the Fermi level: 0.293 states/eV/atom

[10]
## CaMnNbBi2 (GGA-PBE)

Data for a geometry-optimized CaMnNbBi2 structure.

a = 5.5404 Å, b = 5.5404 Å, c = 4.9781 Å
α = 90.00°, β = 90.00°, γ = 90.00°
Fractional positions:
Ca: 0.0000 0.0000 0.0000
Mn: 0.5000 0.5000 0.0000
Nb: 0.5000 0.5000 0.5000
Bi: 0.0000 0.5000 0.5000
Bi: 0.5000 0.0000 0.5000

Results
density of states at the Fermi level: 0.827 states/eV/atom
ΔH_f (0 K): 0.34 eV/atom